# Tb6DyHo2Th3 (PBE-GGA, optimized geometry)
data_Tb6DyHo2Th3
_chemical_formula_sum 'Tb12 Dy2 Ho4 Th6'
_symmetry_space_group_name_H-M 'C 1 2/m 1'
_symmetry_Int_Tables_number 12
_cell_length_a 6.1769
_cell_length_b 10.6913
_cell_length_c 11.7562
_cell_angle_alpha 90.00
_cell_angle_beta 100.09
_cell_angle_gamma 90.00
loop_
_symmetry_equiv_pos_as_xyz
'x,y,z'
'-x,-y,-z'
'-x,y,-z'
'x,-y,z'
'x+1/2,y+1/2,z'
'-x+1/2,-y+1/2,-z'
'-x+1/2,y+1/2,-z'
'x+1/2,-y+1/2,z'
loop_
_atom_site_label
_atom_site_type_symbol
_atom_site_fract_x
_atom_site_fract_y
_atom_site_fract_z
Tb1 Tb 0.2492 0.0000 0.2468
Tb2 Tb 0.2490 0.3333 0.2469
Dy1 Dy 0.0000 0.0000 0.5000
Ho1 Ho 0.0000 0.3334 0.5000
Th1 Th 0.0000 0.1667 0.0000
Th2 Th 0.0000 0.5000 0.0000
# Magnetic moment   0.000 μB per atom
# Energy of formation from the pure elements   0.02 eV per atom